(1)
WSe2Br: optimized geometry, PBE.

Summary:
ρ	7.73	Mg/m³
space group	C2/m (12)
crystal system	monoclinic
final energy	-37.048	eV for the cell shown

Unit cell a=7.335 b=7.320 c=3.375 alpha=90.00 beta=91.40 gamma=90.00
Element x y z (fractional)
W (0.000, 0.000, 0.000)
W (0.500, 0.500, 0.000)
Se (0.250, 0.250, 0.000)
Se (0.250, 0.750, 0.000)
Se (0.750, 0.250, 0.000)
Se (0.750, 0.750, 0.000)
Br (0.000, 0.500, 0.000)
Br (0.500, 0.000, 0.000)

---

(2)
WSeBr2: optimized geometry, PBE.

Summary:
ρ	7.74	Mg/m³
space group	R-3m (166)
crystal system	trigonal
final energy	-54.580	eV for the cell shown

Unit cell a=3.194 b=3.194 c=30.800 alpha=90.00 beta=90.00 gamma=120.00
Element x y z (fractional)
W (0.000, 0.000, 0.000)
W (0.333, 0.667, 0.667)
W (0.667, 0.333, 0.333)
Se (0.000, 0.000, 0.500)
Se (0.333, 0.667, 0.167)
Se (0.667, 0.333, 0.833)
Br (0.000, 0.000, 0.273)
Br (0.000, 0.000, 0.727)
Br (0.333, 0.667, 0.394)
Br (0.333, 0.667, 0.939)
Br (0.667, 0.333, 0.061)
Br (0.667, 0.333, 0.606)

---

(3)
WSe2Br: optimized geometry, PBE.

Summary:
ρ	6.89	Mg/m³
space group	R-3m (166)
crystal system	trigonal
final energy	-66.507	eV for the cell shown

Unit cell a=3.279 b=3.279 c=32.746 alpha=90.00 beta=90.00 gamma=120.00
Element x y z (fractional)
W (0.000, 0.000, 0.000)
W (0.333, 0.667, 0.667)
W (0.667, 0.333, 0.333)
Se (0.000, 0.000, 0.386)
Se (0.000, 0.000, 0.614)
Se (0.333, 0.667, 0.053)
Se (0.333, 0.667, 0.281)
Se (0.667, 0.333, 0.719)
Se (0.667, 0.333, 0.947)
Br (0.000, 0.000, 0.500)
Br (0.333, 0.667, 0.167)
Br (0.667, 0.333, 0.833)

---

(4)
W2Se2Br: optimized geometry, PBE.

Summary:
ρ	8.84	Mg/m³
space group	I4/mmm (139)
crystal system	tetragonal
final energy	-69.196	eV for the cell shown

Unit cell a=3.742 b=3.742 c=16.240 alpha=90.00 beta=90.00 gamma=90.00
Element x y z (fractional)
W (0.000, 0.500, 0.250)
W (0.000, 0.500, 0.750)
W (0.500, 0.000, 0.250)
W (0.500, 0.000, 0.750)
Se (0.000, 0.000, 0.135)
Se (0.000, 0.000, 0.865)
Se (0.500, 0.500, 0.365)
Se (0.500, 0.500, 0.635)
Br (0.000, 0.000, 0.500)
Br (0.500, 0.500, 0.000)

---

(5)
WSe2Br: optimized geometry, PBE.

Summary:
ρ	4.43	Mg/m³
space group	P-1 (2)
crystal system	triclinic
final energy	-45.663	eV for the cell shown

Unit cell a=7.066 b=7.096 c=7.210 alpha=61.46 beta=89.71 gamma=85.28
Element x y z (fractional)
W (0.133, 0.338, 0.154)
W (0.867, 0.662, 0.846)
Se (0.209, 0.656, 0.837)
Se (0.239, 0.049, 0.117)
Se (0.761, 0.951, 0.883)
Se (0.791, 0.344, 0.163)
Br (0.263, 0.332, 0.463)
Br (0.737, 0.668, 0.537)

---

(6)
WSe2Br: optimized geometry, PBE.

Summary:
ρ	5.84	Mg/m³
space group	I-42d (122)
crystal system	tetragonal
final energy	-83.069	eV for the cell shown

Unit cell a=6.944 b=6.944 c=9.943 alpha=90.00 beta=90.00 gamma=90.00
Element x y z (fractional)
W (0.000, 0.000, 0.000)
W (0.000, 0.500, 0.250)
W (0.500, 0.000, 0.750)
W (0.500, 0.500, 0.500)
Se (0.152, 0.250, 0.125)
Se (0.250, 0.652, 0.375)
Se (0.250, 0.848, 0.875)
Se (0.348, 0.250, 0.625)
Se (0.652, 0.750, 0.625)
Se (0.750, 0.152, 0.875)
Se (0.750, 0.348, 0.375)
Se (0.848, 0.750, 0.125)
Br (0.000, 0.000, 0.500)
Br (0.000, 0.500, 0.750)
Br (0.500, 0.000, 0.250)
Br (0.500, 0.500, 0.000)